Entry 1:
# In2Ga2Hg

A relaxed In2Ga2Hg crystal (GGA-PBE, the Alexandria database).

calculated density = 7.69 g cm⁻³
E = -2.303 eV per atom
size of the total moment = 0.0 Bohr magnetons per cell
calculated volume = 123.1 Å³ per cell
formation energy from the elements = 30 kJ/mol of formula units
symmetry = I4/mmm (139)

```
In2Ga2Hg
1.0
3.932 0.000 0.000
0.000 3.932 0.000
1.966 1.966 7.958
Hg Ga In
1 2 2
Direct
0.000 0.000 0.000
0.750 0.250 0.500
0.250 0.750 0.500
0.397 0.397 0.206
0.603 0.603 0.794
```

Entry 2:
# Cs2Ho2PaS6

A relaxed Cs2Ho2PaS6 crystal (GGA-PBE, the Alexandria database).

calculated density = 4.83 g cm⁻³
E = -5.914 eV per atom
size of the total moment = 1.1 Bohr magnetons per cell
calculated volume = 350.4 Å³ per cell
formation energy (no corrections) = -1.812 eV/atom
symmetry = C2/m (12)

```
Cs2Ho2PaS6
1.0
-1.782 4.285 5.237
-2.590 -6.496 -0.240
7.915 -1.974 2.719
Cs Ho Pa S
2 2 1 6
Direct
0.832 0.168 0.000
0.168 0.832 0.000
0.334 0.666 0.500
0.666 0.334 0.500
0.000 0.000 0.500
0.730 0.730 0.677
0.059 0.391 0.677
0.270 0.270 0.323
0.391 0.059 0.677
0.941 0.609 0.323
0.609 0.941 0.323
```

Entry 3:
# CrGaTeCl2

A relaxed CrGaTeCl2 crystal (GGA-PBE, the Alexandria database).

calculated density = 3.03 g cm⁻³
E = -3.786 eV per atom
size of the total moment = 4.2 Bohr magnetons per cell
calculated volume = 175.5 Å³ per cell
formation energy (no corrections) = 0.111 eV/atom
symmetry = P4/mmm (123)

```
CrGaTeCl2
1.0
4.581 0.000 0.000
0.000 8.364 0.000
0.000 0.000 4.581
Cr Te Ga Cl
1 1 1 2
Direct
0.000 0.500 0.000
0.500 0.500 0.500
0.000 0.000 0.000
0.000 0.000 0.500
0.500 0.000 0.000
```

Entry 4:
# La2TbPa2Rh5

A relaxed La2TbPa2Rh5 crystal (GGA-PBE, the Alexandria database).

calculated density = 10.58 g cm⁻³
E = -7.678 eV per atom
size of the total moment = 0.0 Bohr magnetons per cell
calculated volume = 443.8 Å³ per cell
formation energy from the elements = -632 kJ/mol of formula units
symmetry = P4/mbm (127)

```
La2TbPa2Rh5
1.0
3.600 0.000 0.000
0.000 11.103 0.000
0.000 0.000 11.103
La Tb Pa Rh
4 2 4 10
Direct
0.000 0.670 0.170
0.000 0.330 0.830
0.000 0.170 0.330
0.000 0.830 0.670
0.000 0.000 0.000
0.000 0.500 0.500
0.000 0.139 0.639
0.000 0.861 0.361
0.000 0.639 0.861
0.000 0.361 0.139
0.500 0.202 0.057
0.500 0.798 0.943
0.500 0.057 0.798
0.500 0.702 0.443
0.500 0.943 0.202
0.500 0.298 0.557
0.500 0.557 0.702
0.500 0.443 0.298
0.500 0.500 0.000
0.500 0.000 0.500
```